Record 1
Compound: Ba8Bi2N
Source: the Alexandria database
Functional: PBE
Structure: relaxed

Its formation energy (no corrections) is -0.327 eV per atom.

The structure belongs to space group C2/m (No. 12); the cell edges are 20.2461, 6.6638 and 7.5166 Å and the angles 90.00°, 103.90° and 90.00°. Symmetry generates all atoms from Ba at (0.0331, 0.0000, 0.2762), Ba at (0.0791, 0.5000, 0.8310), Ba at (0.1198, 0.5000, 0.4071), Ba at (0.2148, 0.0000, 0.7694), Bi at (0.2051, 0.0000, 0.2481) and N at (0.0000, 0.5000, 0.5000).

Record 2
Compound: Y2ErF11
Source: the Alexandria database
Functional: PBE
Structure: relaxed

Its formation energy (no corrections) is -3.442 eV per atom.

The structure belongs to space group Ibam (No. 72); the cell edges are 8.3719, 10.2131 and 11.0399 Å and the angles 90.00°, 90.00° and 90.00°. Symmetry generates all atoms from Y at (0.1613, 0.1900, 0.0000), Er at (0.0000, 0.5000, 0.2500), F at (0.0000, 0.0000, 0.0000), F at (0.1006, 0.3307, 0.1443), F at (0.1079, 0.1930, 0.5000) and F at (0.2036, 0.4248, 0.3653).

Question: Among the records above, which one has the lowest formation energy (no corrections)?
Answer: Y2ErF11

Question: What is the formula in the first record?
Answer: Ba8Bi2N